P:
# CrIrO2 | Alexandria via LeMat-Bulk | PBE with a Hubbard U | relaxed
# - Space-group type: I-42d (122)
# - Magnetic moment: 0.30 μB/f.u.
# - Crystal system: tetragonal
data_CrIrO2
_chemical_formula_sum 'Cr2 Ir2 O4'
_symmetry_space_group_name_H-M 'P 1'
_symmetry_Int_Tables_number 1
_symmetry_space_group_name_Hall 'P 1'
_cell_length_a 5.597
_cell_length_b 5.597
_cell_length_c 5.597
_cell_angle_alpha 130.53
_cell_angle_beta 130.53
_cell_angle_gamma 72.56
loop_
_atom_site_label
_atom_site_fract_x
_atom_site_fract_y
_atom_site_fract_z
Cr1 0.000 0.000 0.000
Cr2 0.750 0.250 0.500
Ir1 0.250 0.750 0.500
Ir2 0.500 0.500 0.000
O1 0.076 0.625 0.951
O2 0.375 0.326 0.451
O3 0.674 0.125 0.049
O4 0.875 0.924 0.549

Q:
# CrIrO2 | Alexandria via LeMat-Bulk | PBE with a Hubbard U | relaxed
# - Space-group type: R-3m (166)
# - Magnetic moment: 2.93 μB/f.u.
# - Crystal system: trigonal
data_CrIrO2
_chemical_formula_sum 'Cr1 Ir1 O2'
_symmetry_space_group_name_H-M 'P 1'
_symmetry_Int_Tables_number 1
_symmetry_space_group_name_Hall 'P 1'
_cell_length_a 6.406
_cell_length_b 6.406
_cell_length_c 6.406
_cell_angle_alpha 25.93
_cell_angle_beta 25.93
_cell_angle_gamma 25.93
loop_
_atom_site_label
_atom_site_fract_x
_atom_site_fract_y
_atom_site_fract_z
Cr1 0.000 0.000 0.000
Ir1 0.500 0.500 0.500
O1 0.391 0.391 0.391
O2 0.609 0.609 0.609

R:
# CrIrO2 | Alexandria via LeMat-Bulk | PBE with a Hubbard U | relaxed
# - Space-group type: Fm-3m (225)
# - Magnetic moment: 1.52 μB/f.u.
# - Crystal system: cubic
data_CrIrO2
_chemical_formula_sum 'Cr1 Ir1 O2'
_symmetry_space_group_name_H-M 'P 1'
_symmetry_Int_Tables_number 1
_symmetry_space_group_name_Hall 'P 1'
_cell_length_a 3.906
_cell_length_b 3.906
_cell_length_c 3.906
_cell_angle_alpha 60.00
_cell_angle_beta 60.00
_cell_angle_gamma 60.00
loop_
_atom_site_label
_atom_site_fract_x
_atom_site_fract_y
_atom_site_fract_z
Cr1 0.000 0.000 0.000
Ir1 0.500 0.500 0.500
O1 0.250 0.250 0.250
O2 0.750 0.750 0.750

S:
# CrIrO2 | Alexandria via LeMat-Bulk | PBE with a Hubbard U | relaxed
# - Space-group type: R-3m (166)
# - Magnetic moment: 4.22 μB/f.u.
# - Crystal system: trigonal
data_CrIrO2
_chemical_formula_sum 'Cr1 Ir1 O2'
_symmetry_space_group_name_H-M 'P 1'
_symmetry_Int_Tables_number 1
_symmetry_space_group_name_Hall 'P 1'
_cell_length_a 6.042
_cell_length_b 6.042
_cell_length_c 6.042
_cell_angle_alpha 31.17
_cell_angle_beta 31.17
_cell_angle_gamma 31.17
loop_
_atom_site_label
_atom_site_fract_x
_atom_site_fract_y
_atom_site_fract_z
Cr1 0.000 0.000 0.000
Ir1 0.500 0.500 0.500
O1 0.115 0.115 0.115
O2 0.885 0.885 0.885

Each structure's energy above the most stable one, in meV per atom: P 1222; Q 0; R 1944; S 648.

P:
# Cr3IrO | Alexandria via LeMat-Bulk | PBE with a Hubbard U | relaxed
# - Space-group type: Pm-3m (221)
# - Magnetic moment: 11.32 μB/f.u.
# - Crystal system: cubic
data_Cr3IrO
_chemical_formula_sum 'Cr3 Ir1 O1'
_symmetry_space_group_name_H-M 'P 1'
_symmetry_Int_Tables_number 1
_symmetry_space_group_name_Hall 'P 1'
_cell_length_a 4.152
_cell_length_b 4.152
_cell_length_c 4.152
_cell_angle_alpha 90.00
_cell_angle_beta 90.00
_cell_angle_gamma 90.00
loop_
_atom_site_label
_atom_site_fract_x
_atom_site_fract_y
_atom_site_fract_z
Cr1 0.000 0.000 0.500
Cr2 0.000 0.500 0.000
Cr3 0.500 0.000 0.000
Ir1 0.500 0.500 0.500
O1 0.000 0.000 0.000

Q:
# Cr3IrO | Alexandria via LeMat-Bulk | PBE with a Hubbard U | relaxed
# - Space-group type: Pm-3m (221)
# - Magnetic moment: 12.92 μB/f.u.
# - Crystal system: cubic
data_Cr3IrO
_chemical_formula_sum 'Cr3 Ir1 O1'
_symmetry_space_group_name_H-M 'P 1'
_symmetry_Int_Tables_number 1
_symmetry_space_group_name_Hall 'P 1'
_cell_length_a 4.864
_cell_length_b 4.864
_cell_length_c 4.864
_cell_angle_alpha 90.00
_cell_angle_beta 90.00
_cell_angle_gamma 90.00
loop_
_atom_site_label
_atom_site_fract_x
_atom_site_fract_y
_atom_site_fract_z
Cr1 0.000 0.000 0.500
Cr2 0.000 0.500 0.000
Cr3 0.500 0.000 0.000
Ir1 0.000 0.000 0.000
O1 0.500 0.500 0.500

Each structure's energy above the most stable one, in meV per atom: P 0; Q 1466.

P:
# CrP2IrO | Alexandria via LeMat-Bulk | PBE with a Hubbard U | relaxed
# - Space-group type: P4/mmm (123)
# - Magnetic moment: 1.69 μB/f.u.
# - Crystal system: tetragonal
data_CrP2IrO
_chemical_formula_sum 'Cr1 P2 Ir1 O1'
_symmetry_space_group_name_H-M 'P 1'
_symmetry_Int_Tables_number 1
_symmetry_space_group_name_Hall 'P 1'
_cell_length_a 4.680
_cell_length_b 4.680
_cell_length_c 3.404
_cell_angle_alpha 90.00
_cell_angle_beta 90.00
_cell_angle_gamma 90.00
loop_
_atom_site_label
_atom_site_fract_x
_atom_site_fract_y
_atom_site_fract_z
Cr1 0.000 0.000 0.000
P1 0.000 0.500 0.000
P2 0.500 0.000 0.000
Ir1 0.500 0.500 0.500
O1 0.000 0.000 0.500

Q:
# CrP2IrO | Alexandria via LeMat-Bulk | PBE with a Hubbard U | relaxed
# - Space-group type: P4/mmm (123)
# - Magnetic moment: 1.14 μB/f.u.
# - Crystal system: tetragonal
data_CrP2IrO
_chemical_formula_sum 'Cr1 P2 Ir1 O1'
_symmetry_space_group_name_H-M 'P 1'
_symmetry_Int_Tables_number 1
_symmetry_space_group_name_Hall 'P 1'
_cell_length_a 4.806
_cell_length_b 4.806
_cell_length_c 3.659
_cell_angle_alpha 90.00
_cell_angle_beta 90.00
_cell_angle_gamma 90.00
loop_
_atom_site_label
_atom_site_fract_x
_atom_site_fract_y
_atom_site_fract_z
Cr1 0.000 0.000 0.000
P1 0.000 0.500 0.500
P2 0.500 0.000 0.500
Ir1 0.500 0.500 0.500
O1 0.500 0.500 0.000

Each structure's energy above the most stable one, in meV per atom: P 0; Q 384.

P:
# CrPIrO2 | Alexandria via LeMat-Bulk | PBE with a Hubbard U | relaxed
# - Space-group type: P4/mmm (123)
# - Magnetic moment: 1.83 μB/f.u.
# - Crystal system: tetragonal
data_CrPIrO2
_chemical_formula_sum 'Cr1 P1 Ir1 O2'
_symmetry_space_group_name_H-M 'P 1'
_symmetry_Int_Tables_number 1
_symmetry_space_group_name_Hall 'P 1'
_cell_length_a 3.501
_cell_length_b 3.501
_cell_length_c 7.118
_cell_angle_alpha 90.00
_cell_angle_beta 90.00
_cell_angle_gamma 90.00
loop_
_atom_site_label
_atom_site_fract_x
_atom_site_fract_y
_atom_site_fract_z
Cr1 0.000 0.000 0.000
P1 0.000 0.000 0.500
Ir1 0.500 0.500 0.500
O1 0.000 0.500 0.000
O2 0.500 0.000 0.000

Q:
# CrPIrO2 | Alexandria via LeMat-Bulk | PBE with a Hubbard U | relaxed
# - Space-group type: P4/mmm (123)
# - Magnetic moment: 3.94 μB/f.u.
# - Crystal system: tetragonal
data_CrPIrO2
_chemical_formula_sum 'Cr1 P1 Ir1 O2'
_symmetry_space_group_name_H-M 'P 1'
_symmetry_Int_Tables_number 1
_symmetry_space_group_name_Hall 'P 1'
_cell_length_a 3.750
_cell_length_b 3.750
_cell_length_c 5.392
_cell_angle_alpha 90.00
_cell_angle_beta 90.00
_cell_angle_gamma 90.00
loop_
_atom_site_label
_atom_site_fract_x
_atom_site_fract_y
_atom_site_fract_z
Cr1 0.000 0.000 0.000
P1 0.500 0.500 0.000
Ir1 0.500 0.500 0.500
O1 0.000 0.500 0.500
O2 0.500 0.000 0.500

Each structure's energy above the most stable one, in meV per atom: P 20; Q 0.